(1)
Entry from Alexandria via LeMat-Bulk: a relaxed Sr4LiNb3O12 crystal (GGA-PBE).

- total magnetic moment (μB per cell) = 0.000
- space-group type = Im-3m (229)
- energy relative to the elements, uncorrected (kJ/mol of formula units) = -5302
- E (eV for the cell shown) = -153.3

Lattice parameters (Å, degrees): 7.063 7.063 7.063 109.47 109.47 109.47
Atoms (fractional coordinates):
Nb (0.500, 0.500, 0.000)
O (0.500, 0.750, 0.250)
Sr (0.000, 0.500, 0.000)
Sr (0.000, 0.000, 0.500)
Nb (0.500, 0.000, 0.500)
Nb (0.000, 0.500, 0.500)
Sr (0.500, 0.500, 0.500)
O (0.750, 0.500, 0.250)
O (0.250, 0.500, 0.750)
O (0.738, 0.000, 0.738)
O (0.262, 0.262, 0.000)
Sr (0.500, 0.000, 0.000)
O (0.500, 0.250, 0.750)
O (0.250, 0.750, 0.500)
O (0.750, 0.250, 0.500)
O (0.000, 0.262, 0.262)
O (0.738, 0.738, 0.000)
Li (0.000, 0.000, 0.000)
O (0.000, 0.738, 0.738)
O (0.262, 0.000, 0.262)

(2)
Entry from Alexandria via LeMat-Bulk: a relaxed Nd8TmSc5 crystal (GGA-PBE).

- total magnetic moment (μB per cell) = 0.000
- space-group type = I-4 (82)
- E (eV for the cell shown) = -70.5
- energy relative to the elements (meV per atom) = 266

Lattice parameters (Å, degrees): 8.354 8.354 8.354 111.15 106.17 111.15
Atoms (fractional coordinates):
Nd (0.575, 0.921, 0.845)
Nd (0.155, 0.730, 0.076)
Tm (0.250, 0.500, 0.750)
Sc (0.874, 0.909, 0.177)
Nd (0.924, 0.079, 0.654)
Sc (0.823, 0.697, 0.732)
Nd (0.739, 0.261, 0.343)
Sc (0.500, 0.000, 0.500)
Nd (0.082, 0.739, 0.478)
Sc (0.268, 0.091, 0.965)
Nd (0.522, 0.604, 0.261)
Sc (0.035, 0.303, 0.126)
Nd (0.346, 0.270, 0.425)
Nd (0.657, 0.396, 0.918)

(3)
Entry from Alexandria via LeMat-Bulk: a relaxed Tl2Cd3 crystal (GGA-PBE).

- energy relative to the lowest polymorph listed for this composition (meV/atom) = 0
- total magnetic moment (μB per cell) = 0.000
- space-group type = R-3m (166)
- E (eV for the cell shown) = -7.3
- energy relative to the elements (meV per atom) = 35

Lattice parameters (Å, degrees): 3.441 3.441 13.056 82.43 82.43 60.00
Atoms (fractional coordinates):
Cd (0.895, 0.895, 0.316)
Tl (0.704, 0.704, 0.888)
Cd (0.500, 0.500, 0.500)
Tl (0.296, 0.296, 0.112)
Cd (0.105, 0.105, 0.684)

(4)
Entry from Alexandria via LeMat-Bulk: a relaxed Dy5TmTl3 crystal (GGA-PBE).

- total magnetic moment (μB per cell) = 2.018
- space-group type = P6_3/mcm (193)
- E (eV for the cell shown) = -73.8
- energy relative to the elements (meV per atom) = -256

Lattice parameters (Å, degrees): 6.708 9.356 9.353 120.01 90.00 90.00
Atoms (fractional coordinates):
Tl (0.250, 0.000, 0.332)
Dy (0.250, 0.000, 0.667)
Tl (0.750, 0.000, 0.668)
Tl (0.750, 0.332, 0.332)
Dy (0.500, 0.667, 0.333)
Tl (0.750, 0.667, 0.000)
Tl (0.250, 0.668, 0.668)
Dy (0.750, 0.667, 0.667)
Dy (0.000, 0.667, 0.333)
Dy (0.000, 0.333, 0.667)
Dy (0.500, 0.333, 0.667)
Dy (0.250, 0.667, 0.000)
Dy (0.750, 0.333, 0.000)
Tm (0.500, 0.000, 0.000)
Dy (0.250, 0.333, 0.333)
Tl (0.250, 0.333, 0.000)
Dy (0.750, 0.000, 0.333)
Tm (0.000, 0.000, 0.000)

(5)
Entry from Alexandria via LeMat-Bulk: a relaxed LaYMgSi crystal (GGA-PBE).

- total magnetic moment (μB per cell) = 0.000
- space-group type = F-43m (216)
- energy relative to the elements, uncorrected (kJ/mol of formula units) = -117
- E (eV for the cell shown) = -19.6

Lattice parameters (Å, degrees): 5.223 5.223 5.223 60.00 60.00 60.00
Atoms (fractional coordinates):
La (0.000, 0.000, 0.000)
Si (0.750, 0.750, 0.750)
Mg (0.250, 0.250, 0.250)
Y (0.500, 0.500, 0.500)

(6)
Entry from Alexandria via LeMat-Bulk: a relaxed KRb2In2 crystal (GGA-PBE).

- energy relative to the lowest polymorph listed for this composition (meV/atom) = 0
- total magnetic moment (μB per cell) = 0.000
- space-group type = C2/m (12)
- E (eV for the cell shown) = -8.6
- energy relative to the elements (meV per atom) = -22

Lattice parameters (Å, degrees): 5.193 7.350 7.480 98.96 110.31 90.00
Atoms (fractional coordinates):
Rb (0.646, 0.565, 0.292)
In (0.267, 0.919, 0.534)
K (0.000, 0.000, 0.000)
In (0.733, 0.081, 0.466)
Rb (0.354, 0.435, 0.708)

(7)
Entry from Alexandria via LeMat-Bulk: a relaxed VCrInCl6 crystal (GGA-PBE).

- total magnetic moment (μB per cell) = 6.000
- space-group type = P312 (149)
- energy relative to the elements, uncorrected (kJ/mol of formula units) = -941
- E (eV for the cell shown) = -42.3

Lattice parameters (Å, degrees): 6.326 6.326 7.071 90.00 90.00 60.00
Atoms (fractional coordinates):
Cl (0.368, 0.996, 0.692)
In (0.000, 0.000, 0.000)
Cl (0.368, 0.636, 0.308)
Cl (0.636, 0.368, 0.692)
Cr (0.667, 0.667, 0.500)
V (0.333, 0.333, 0.500)
Cl (0.996, 0.368, 0.308)
Cl (0.996, 0.636, 0.692)
Cl (0.636, 0.996, 0.308)

(8)
Entry from Alexandria via LeMat-Bulk: a relaxed DyHo4Tl5 crystal (GGA-PBE).

- total magnetic moment (μB per cell) = 0.000
- space-group type = P4/mmm (123)
- E (eV for the cell shown) = -38.0
- energy relative to the elements (meV per atom) = -330

Lattice parameters (Å, degrees): 3.745 3.745 19.325 90.00 90.00 90.00
Atoms (fractional coordinates):
Ho (0.000, 0.000, 0.799)
Tl (0.500, 0.500, 0.500)
Tl (0.500, 0.500, 0.101)
Ho (0.000, 0.000, 0.400)
Dy (0.000, 0.000, 0.000)
Tl (0.500, 0.500, 0.899)
Tl (0.500, 0.500, 0.300)
Ho (0.000, 0.000, 0.600)
Tl (0.500, 0.500, 0.700)
Ho (0.000, 0.000, 0.201)